(1)
# PBE Ca2BeCd, relaxed
# E above lowest polymorph (eV per formula unit): 0.12
# Formation energy (meV per atom): 63.0
data_Ca2BeCd
_cell_length_a 7.3914
_cell_length_b 7.3914
_cell_length_c 7.3914
_cell_angle_alpha 90.00
_cell_angle_beta 90.00
_cell_angle_gamma 90.00
_space_group_name_H-M_alt 'F m -3 m'
_space_group_IT_number 225
_space_group_name_Hall '-F 4 2 3'
loop_
_atom_site_label
_atom_site_fract_x
_atom_site_fract_y
_atom_site_fract_z
Ca1 0.2500 0.2500 0.2500
Be1 0.0000 0.0000 0.0000
Cd1 0.0000 0.0000 0.5000

---

(2)
# PBE Ca2BeCd2, relaxed
# E above lowest polymorph (eV per formula unit): 0.78
# Formation energy (meV per atom): 219.8
data_Ca2BeCd2
_cell_length_a 3.9758
_cell_length_b 3.9758
_cell_length_c 17.8244
_cell_angle_alpha 90.00
_cell_angle_beta 90.00
_cell_angle_gamma 90.00
_space_group_name_H-M_alt 'I 4/m m m'
_space_group_IT_number 139
_space_group_name_Hall '-I 4 2'
loop_
_atom_site_label
_atom_site_fract_x
_atom_site_fract_y
_atom_site_fract_z
Ca1 0.0000 0.0000 0.0932
Be1 0.0000 0.0000 0.5000
Cd1 0.0000 0.5000 0.2500

---

(3)
# PBE Ca2BeCd, relaxed
# E above lowest polymorph (eV per formula unit): 0.16
# Formation energy (meV per atom): 71.9
data_Ca2BeCd
_cell_length_a 3.5293
_cell_length_b 5.2671
_cell_length_c 10.7374
_cell_angle_alpha 90.00
_cell_angle_beta 90.00
_cell_angle_gamma 90.00
_space_group_name_H-M_alt 'I m m 2'
_space_group_IT_number 44
_space_group_name_Hall 'I 2 -2'
loop_
_atom_site_label
_atom_site_fract_x
_atom_site_fract_y
_atom_site_fract_z
Ca1 0.0000 0.0000 0.0000
Ca2 0.0000 0.5000 0.1951
Be1 0.0000 0.0000 0.4578
Cd1 0.0000 0.5000 0.7859

---

(4)
# PBE CaBeCd2, relaxed
# Formation energy (meV per atom): 37.1
data_CaBeCd2
_cell_length_a 7.8163
_cell_length_b 4.4846
_cell_length_c 5.8000
_cell_angle_alpha 90.00
_cell_angle_beta 116.34
_cell_angle_gamma 90.00
_space_group_name_H-M_alt 'C 1 m 1'
_space_group_IT_number 8
_space_group_name_Hall 'C -2y'
loop_
_atom_site_label
_atom_site_fract_x
_atom_site_fract_y
_atom_site_fract_z
Ca1 0.0000 0.0000 0.0000
Be1 0.1989 0.0000 0.5907
Cd1 0.0424 0.5000 0.6231
Cd2 0.2944 0.5000 0.3796

---

(5)
# PBE CaBeCd2, relaxed
# Formation energy (meV per atom): 97.1
data_CaBeCd2
_cell_length_a 6.9141
_cell_length_b 6.9141
_cell_length_c 6.9141
_cell_angle_alpha 90.00
_cell_angle_beta 90.00
_cell_angle_gamma 90.00
_space_group_name_H-M_alt 'F -4 3 m'
_space_group_IT_number 216
_space_group_name_Hall 'F -4 2 3'
loop_
_atom_site_label
_atom_site_fract_x
_atom_site_fract_y
_atom_site_fract_z
Ca1 0.0000 0.0000 0.0000
Be1 0.2500 0.2500 0.2500
Cd1 0.0000 0.0000 0.5000
Cd2 0.2500 0.2500 0.7500

---

(6)
# PBE CaBeCd2, relaxed
# Formation energy (meV per atom): 95.8
data_CaBeCd2
_cell_length_a 4.2525
_cell_length_b 3.6585
_cell_length_c 11.3686
_cell_angle_alpha 90.00
_cell_angle_beta 90.00
_cell_angle_gamma 90.00
_space_group_name_H-M_alt 'A m m 2'
_space_group_IT_number 38
_space_group_name_Hall 'A 2 -2'
loop_
_atom_site_label
_atom_site_fract_x
_atom_site_fract_y
_atom_site_fract_z
Ca1 0.0000 0.0000 0.0000
Be1 0.5000 0.0000 0.3923
Cd1 0.0000 0.0000 0.2766
Cd2 0.5000 0.0000 0.6697